[1]
# TiS3O12

TiS3O12 after structural relaxation (PBE, Alexandria via LeMat-Bulk).

Structure (CIF):
```
data_TiS3O12
_chemical_formula_sum 'Ti2 S6 O24'
_space_group_name_H-M_alt 'P 63/m'
_space_group_IT_number 176
_space_group_name_Hall '-P 6c'
_cell_length_a 11.0048
_cell_length_b 11.0048
_cell_length_c 4.8972
_cell_angle_alpha 90.00
_cell_angle_beta 90.00
_cell_angle_gamma 120.00
loop_
_atom_site_label
_atom_site_type_symbol
_atom_site_fract_x
_atom_site_fract_y
_atom_site_fract_z
_atom_site_occupancy
Ti1 Ti 0.3333 0.6667 0.2500 1
S1 S 0.1466 0.4275 0.7500 1
O1 O 0.0141 0.4266 0.7500 1
O2 O 0.1333 0.2896 0.7500 1
O3 O 0.2327 0.5081 0.5027 1
```

Summary:
**ΔE_f (raw)**: -1.291 eV per atom



[2]
# Mg2BWS

Mg2BWS after structural relaxation (PBE, Alexandria via LeMat-Bulk).

Structure (CIF):
```
data_Mg2BWS
_chemical_formula_sum 'Mg2 B1 W1 S1'
_space_group_name_H-M_alt 'P 4/m m m'
_space_group_IT_number 123
_space_group_name_Hall '-P 4 2'
_cell_length_a 5.365
_cell_length_b 5.365
_cell_length_c 4.002
_cell_angle_alpha 90.00
_cell_angle_beta 90.00
_cell_angle_gamma 90.00
loop_
_atom_site_label
_atom_site_type_symbol
_atom_site_fract_x
_atom_site_fract_y
_atom_site_fract_z
_atom_site_occupancy
Mg1 Mg 0.000 0.500 0.000 1
B1 B 0.000 0.000 0.500 1
W1 W 0.000 0.000 0.000 1
S1 S 0.500 0.500 0.500 1
```

Summary:
**Energy relative to the lowest polymorph listed for this composition**: 0.0 kJ/mol of atoms
**ΔE_f (raw)**: 1.215 eV per atom



[3]
# KAsOs2

KAsOs2 after structural relaxation (PBE, Alexandria via LeMat-Bulk).

Structure (CIF):
```
data_KAsOs2
_chemical_formula_sum 'K2 As2 Os4'
_space_group_name_H-M_alt 'I -4 m 2'
_space_group_IT_number 119
_space_group_name_Hall 'I -4 -2'
_cell_length_a 4.600
_cell_length_b 4.600
_cell_length_c 6.549
_cell_angle_alpha 90.00
_cell_angle_beta 90.00
_cell_angle_gamma 90.00
loop_
_atom_site_label
_atom_site_type_symbol
_atom_site_fract_x
_atom_site_fract_y
_atom_site_fract_z
_atom_site_occupancy
K1 K 0.000 0.000 0.000 1
As1 As 0.000 0.500 0.250 1
Os1 Os 0.000 0.000 0.500 1
Os2 Os 0.000 0.500 0.750 1
```

Summary:
**Formation energy**: 1.31 eV/atom



[4]
# Al2O3

Al2O3 after structural relaxation (PBE, Alexandria via LeMat-Bulk).

Structure (CIF):
```
data_Al2O3
_chemical_formula_sum 'Al6 O9'
_space_group_name_H-M_alt 'R 3 m'
_space_group_IT_number 160
_space_group_name_Hall 'R 3 -2"'
_cell_length_a 3.0347
_cell_length_b 3.0347
_cell_length_c 17.4965
_cell_angle_alpha 90.00
_cell_angle_beta 90.00
_cell_angle_gamma 120.00
loop_
_atom_site_label
_atom_site_type_symbol
_atom_site_fract_x
_atom_site_fract_y
_atom_site_fract_z
_atom_site_occupancy
Al1 Al 0.0000 0.0000 0.0000 1
Al2 Al 0.0000 0.0000 0.4998 1
O1 O 0.0000 0.0000 0.1647 1
O2 O 0.0000 0.0000 0.3864 1
O3 O 0.0000 0.0000 0.6108 1
```

Summary:
**ΔE_f (raw)**: -2.918 eV per atom



[5]
# KScCo

KScCo after structural relaxation (PBE, Alexandria via LeMat-Bulk).

Structure (CIF):
```
data_KScCo
_chemical_formula_sum 'K2 Sc2 Co2'
_space_group_name_H-M_alt 'I 4 m m'
_space_group_IT_number 107
_space_group_name_Hall 'I 4 -2'
_cell_length_a 3.270
_cell_length_b 3.270
_cell_length_c 14.521
_cell_angle_alpha 90.00
_cell_angle_beta 90.00
_cell_angle_gamma 90.00
loop_
_atom_site_label
_atom_site_type_symbol
_atom_site_fract_x
_atom_site_fract_y
_atom_site_fract_z
_atom_site_occupancy
K1 K 0.000 0.000 0.000 1
Sc1 Sc 0.000 0.000 0.249 1
Co1 Co 0.000 0.000 0.673 1
```

Summary:
**Energy relative to the lowest polymorph listed for this composition**: 0.0 kJ/mol of atoms
**Formation energy**: 0.37 eV/atom



[6]
# Nd3Sm2Hg2

Nd3Sm2Hg2 after structural relaxation (PBE, Alexandria via LeMat-Bulk).

Structure (CIF):
```
data_Nd3Sm2Hg2
_chemical_formula_sum 'Nd6 Sm4 Hg4'
_space_group_name_H-M_alt 'C m m m'
_space_group_IT_number 65
_space_group_name_Hall '-C 2 2'
_cell_length_a 3.739
_cell_length_b 31.919
_cell_length_c 3.703
_cell_angle_alpha 90.00
_cell_angle_beta 90.00
_cell_angle_gamma 90.00
loop_
_atom_site_label
_atom_site_type_symbol
_atom_site_fract_x
_atom_site_fract_y
_atom_site_fract_z
_atom_site_occupancy
Nd1 Nd 0.000 0.000 0.000 1
Nd2 Nd 0.000 0.420 0.500 1
Sm1 Sm 0.000 0.298 0.500 1
Hg1 Hg 0.000 0.143 0.000 1
```

Summary:
**Energy relative to the lowest polymorph listed for this composition**: 3.6 kJ/mol of atoms
**Formation energy**: -0.19 eV/atom



[7]
# MgSb2TePb

MgSb2TePb after structural relaxation (PBE, Alexandria via LeMat-Bulk).

Structure (CIF):
```
data_MgSb2TePb
_chemical_formula_sum 'Mg1 Sb2 Te1 Pb1'
_space_group_name_H-M_alt 'P 4/m m m'
_space_group_IT_number 123
_space_group_name_Hall '-P 4 2'
_cell_length_a 5.864
_cell_length_b 5.864
_cell_length_c 5.910
_cell_angle_alpha 90.00
_cell_angle_beta 90.00
_cell_angle_gamma 90.00
loop_
_atom_site_label
_atom_site_type_symbol
_atom_site_fract_x
_atom_site_fract_y
_atom_site_fract_z
_atom_site_occupancy
Mg1 Mg 0.000 0.000 0.000 1
Sb1 Sb 0.000 0.500 0.500 1
Te1 Te 0.500 0.500 0.000 1
Pb1 Pb 0.500 0.500 0.500 1
```

Summary:
**Energy relative to the lowest polymorph listed for this composition**: 42.7 kJ/mol of atoms
**ΔE_f (raw)**: 0.742 eV per atom



[8]
# TbPm5Pr

TbPm5Pr after structural relaxation (PBE, Alexandria via LeMat-Bulk).

Structure (CIF):
```
data_TbPm5Pr
_chemical_formula_sum 'Tb4 Pm20 Pr4'
_space_group_name_H-M_alt 'C 1 2/c 1'
_space_group_IT_number 15
_cell_length_a 12.027
_cell_length_b 6.934
_cell_length_c 12.417
_cell_angle_alpha 90.00
_cell_angle_beta 110.82
_cell_angle_gamma 90.00
loop_
_space_group_symop_operation_xyz
'x,y,z'
'-x,-y,-z'
'-x,y,-z+1/2'
'x,-y,z+1/2'
'x+1/2,y+1/2,z'
'-x+1/2,-y+1/2,-z'
'-x+1/2,y+1/2,-z+1/2'
'x+1/2,-y+1/2,z+1/2'
loop_
_atom_site_label
_atom_site_type_symbol
_atom_site_fract_x
_atom_site_fract_y
_atom_site_fract_z
_atom_site_occupancy
Tb1 Tb 0.000 0.026 0.250 1
Pm1 Pm 0.000 0.419 0.750 1
Pm2 Pm 0.077 0.267 0.501 1
Pm3 Pm 0.219 0.366 0.250 1
Pr1 Pr 0.250 0.250 0.000 1
```

Summary:
**Energy relative to the lowest polymorph listed for this composition**: 0.0 kJ/mol of atoms
**Formation energy**: 0.16 eV/atom



[9]
# NdDyGa3

NdDyGa3 after structural relaxation (PBE, Alexandria via LeMat-Bulk).

Structure (CIF):
```
data_NdDyGa3
_chemical_formula_sum 'Nd4 Dy4 Ga12'
_space_group_name_H-M_alt 'C m c m'
_space_group_IT_number 63
_space_group_name_Hall '-C 2c 2'
_cell_length_a 4.296
_cell_length_b 25.763
_cell_length_c 4.212
_cell_angle_alpha 90.00
_cell_angle_beta 90.00
_cell_angle_gamma 90.00
loop_
_atom_site_label
_atom_site_type_symbol
_atom_site_fract_x
_atom_site_fract_y
_atom_site_fract_z
_atom_site_occupancy
Nd1 Nd 0.000 0.074 0.250 1
Dy1 Dy 0.000 0.204 0.750 1
Ga1 Ga 0.000 0.323 0.750 1
Ga2 Ga 0.000 0.379 0.250 1
Ga3 Ga 0.000 0.476 0.250 1
```

Summary:
**Formation energy**: -0.66 eV/atom



[10]
# NaLiNi2

NaLiNi2 after structural relaxation (PBE, Alexandria via LeMat-Bulk).

Structure (CIF):
```
data_NaLiNi2
_chemical_formula_sum 'Na4 Li4 Ni8'
_space_group_name_H-M_alt 'I -4 2 d'
_space_group_IT_number 122
_space_group_name_Hall 'I -4 2bw'
_cell_length_a 3.528
_cell_length_b 3.528
_cell_length_c 18.716
_cell_angle_alpha 90.00
_cell_angle_beta 90.00
_cell_angle_gamma 90.00
loop_
_atom_site_label
_atom_site_type_symbol
_atom_site_fract_x
_atom_site_fract_y
_atom_site_fract_z
_atom_site_occupancy
Na1 Na 0.000 0.000 0.000 1
Li1 Li 0.000 0.000 0.500 1
Ni1 Ni 0.228 0.250 0.625 1
```

Summary:
**Energy relative to the lowest polymorph listed for this composition**: 0.0 kJ/mol of atoms
**Formation energy**: 0.49 eV/atom



[11]
# LiNdSb

LiNdSb after structural relaxation (PBE, Alexandria via LeMat-Bulk).

Structure (CIF):
```
data_LiNdSb
_chemical_formula_sum 'Li4 Nd4 Sb4'
_space_group_name_H-M_alt 'C m c m'
_space_group_IT_number 63
_space_group_name_Hall '-C 2c 2'
_cell_length_a 4.430
_cell_length_b 16.412
_cell_length_c 4.696
_cell_angle_alpha 90.00
_cell_angle_beta 90.00
_cell_angle_gamma 90.00
loop_
_atom_site_label
_atom_site_type_symbol
_atom_site_fract_x
_atom_site_fract_y
_atom_site_fract_z
_atom_site_occupancy
Li1 Li 0.000 0.000 0.000 1
Nd1 Nd 0.000 0.339 0.250 1
Sb1 Sb 0.000 0.148 0.250 1
```

Summary:
**Energy relative to the lowest polymorph listed for this composition**: 24.0 kJ/mol of atoms
**ΔE_f (raw)**: -0.637 eV per atom



[12]
# ErTm2Pb

ErTm2Pb after structural relaxation (PBE, Alexandria via LeMat-Bulk).

Structure (CIF):
```
data_ErTm2Pb
_chemical_formula_sum 'Er3 Tm6 Pb3'
_space_group_name_H-M_alt 'R 3 m'
_space_group_IT_number 160
_space_group_name_Hall 'R 3 -2"'
_cell_length_a 5.1816
_cell_length_b 5.1816
_cell_length_c 16.5446
_cell_angle_alpha 90.00
_cell_angle_beta 90.00
_cell_angle_gamma 120.00
loop_
_atom_site_label
_atom_site_type_symbol
_atom_site_fract_x
_atom_site_fract_y
_atom_site_fract_z
_atom_site_occupancy
Er1 Er 0.0000 0.0000 0.0000 1
Tm1 Tm 0.0000 0.0000 0.2184 1
Tm2 Tm 0.0000 0.0000 0.4391 1
Pb1 Pb 0.0000 0.0000 0.7983 1
```

Summary:
**Energy relative to the lowest polymorph listed for this composition**: 30.9 kJ/mol of atoms
**Formation energy**: 0.06 eV/atom



[13]
# Tl4HgSe2

Tl4HgSe2 after structural relaxation (PBE, Alexandria via LeMat-Bulk).

Structure (CIF):
```
data_Tl4HgSe2
_chemical_formula_sum 'Tl32 Hg8 Se16'
_space_group_name_H-M_alt 'F 2 2 2'
_space_group_IT_number 22
_space_group_name_Hall 'F 2 2'
_cell_length_a 9.747
_cell_length_b 14.062
_cell_length_c 14.277
_cell_angle_alpha 90.00
_cell_angle_beta 90.00
_cell_angle_gamma 90.00
loop_
_atom_site_label
_atom_site_type_symbol
_atom_site_fract_x
_atom_site_fract_y
_atom_site_fract_z
_atom_site_occupancy
Tl1 Tl 0.075 0.158 0.160 1
Tl2 Tl 0.173 0.093 0.591 1
Hg1 Hg 0.000 0.000 0.000 1
Hg2 Hg 0.250 0.250 0.750 1
Se1 Se 0.127 0.125 0.375 1
```

Summary:
**Energy relative to the lowest polymorph listed for this composition**: 2.2 kJ/mol of atoms
**ΔE_f (raw)**: -0.280 eV per atom



[14]
# MgMnIr

MgMnIr after structural relaxation (PBE, Alexandria via LeMat-Bulk).

Structure (CIF):
```
data_MgMnIr
_chemical_formula_sum 'Mg1 Mn1 Ir1'
_space_group_name_H-M_alt 'P 3 m 1'
_space_group_IT_number 156
_cell_length_a 4.3322
_cell_length_b 4.3322
_cell_length_c 2.8418
_cell_angle_alpha 90.00
_cell_angle_beta 90.00
_cell_angle_gamma 120.00
loop_
_space_group_symop_operation_xyz
'x,y,z'
'-y,x-y,z'
'-x+y,-x,z'
'-y,-x,z'
'-x+y,y,z'
'x,x-y,z'
loop_
_atom_site_label
_atom_site_type_symbol
_atom_site_fract_x
_atom_site_fract_y
_atom_site_fract_z
_atom_site_occupancy
Mg1 Mg 0.0000 0.0000 0.0000 1
Mn1 Mn 0.3333 0.6667 0.3639 1
Ir1 Ir 0.6667 0.3333 0.6181 1
```

Summary:
**Formation energy**: -0.07 eV/atom



[15]
# CaAlPd2Se

CaAlPd2Se after structural relaxation (PBE, Alexandria via LeMat-Bulk).

Structure (CIF):
```
data_CaAlPd2Se
_chemical_formula_sum 'Ca1 Al1 Pd2 Se1'
_space_group_name_H-M_alt 'P 4/m m m'
_space_group_IT_number 123
_space_group_name_Hall '-P 4 2'
_cell_length_a 5.010
_cell_length_b 5.010
_cell_length_c 5.294
_cell_angle_alpha 90.00
_cell_angle_beta 90.00
_cell_angle_gamma 90.00
loop_
_atom_site_label
_atom_site_type_symbol
_atom_site_fract_x
_atom_site_fract_y
_atom_site_fract_z
_atom_site_occupancy
Ca1 Ca 0.000 0.000 0.000 1
Al1 Al 0.500 0.500 0.500 1
Pd1 Pd 0.000 0.500 0.000 1
Se1 Se 0.000 0.000 0.500 1
```

Summary:
**ΔE_f (raw)**: 0.517 eV per atom



[16]
# Pr2SmCuTe5

Pr2SmCuTe5 after structural relaxation (PBE, Alexandria via LeMat-Bulk).

Structure (CIF):
```
data_Pr2SmCuTe5
_chemical_formula_sum 'Pr8 Sm4 Cu4 Te20'
_space_group_name_H-M_alt 'C m c 21'
_space_group_IT_number 36
_cell_length_a 4.351
_cell_length_b 19.292
_cell_length_c 13.107
_cell_angle_alpha 90.00
_cell_angle_beta 90.00
_cell_angle_gamma 90.00
loop_
_space_group_symop_operation_xyz
'x,y,z'
'-x,-y,z+1/2'
'-x,y,z'
'x,-y,z+1/2'
'x+1/2,y+1/2,z'
'-x+1/2,-y+1/2,z+1/2'
'-x+1/2,y+1/2,z'
'x+1/2,-y+1/2,z+1/2'
loop_
_atom_site_label
_atom_site_type_symbol
_atom_site_fract_x
_atom_site_fract_y
_atom_site_fract_z
_atom_site_occupancy
Pr1 Pr 0.000 0.109 0.000 1
Pr2 Pr 0.000 0.123 0.622 1
Sm1 Sm 0.000 0.192 0.324 1
Cu1 Cu 0.000 0.429 0.773 1
Te1 Te 0.000 0.041 0.378 1
Te2 Te 0.000 0.287 0.991 1
Te3 Te 0.000 0.315 0.656 1
Te4 Te 0.000 0.357 0.314 1
Te5 Te 0.000 0.500 0.101 1
```

Summary:
**ΔE_f (raw)**: -1.214 eV per atom



[17]
# TaTe2I

TaTe2I after structural relaxation (PBE, Alexandria via LeMat-Bulk).

Structure (CIF):
```
data_TaTe2I
_chemical_formula_sum 'Ta4 Te8 I4'
_space_group_name_H-M_alt 'I -4 2 d'
_space_group_IT_number 122
_space_group_name_Hall 'I -4 2bw'
_cell_length_a 7.624
_cell_length_b 7.624
_cell_length_c 11.162
_cell_angle_alpha 90.00
_cell_angle_beta 90.00
_cell_angle_gamma 90.00
loop_
_atom_site_label
_atom_site_type_symbol
_atom_site_fract_x
_atom_site_fract_y
_atom_site_fract_z
_atom_site_occupancy
Ta1 Ta 0.000 0.000 0.000 1
Te1 Te 0.155 0.250 0.125 1
I1 I 0.000 0.000 0.500 1
```

Summary:
**Energy relative to the lowest polymorph listed for this composition**: 44.5 kJ/mol of atoms
**ΔE_f (raw)**: 0.230 eV per atom



[18]
# SiTeI2N

SiTeI2N after structural relaxation (PBE, Alexandria via LeMat-Bulk).

Structure (CIF):
```
data_SiTeI2N
_chemical_formula_sum 'Si1 Te1 I2 N1'
_space_group_name_H-M_alt 'P 4/m m m'
_space_group_IT_number 123
_space_group_name_Hall '-P 4 2'
_cell_length_a 4.852
_cell_length_b 4.852
_cell_length_c 5.130
_cell_angle_alpha 90.00
_cell_angle_beta 90.00
_cell_angle_gamma 90.00
loop_
_atom_site_label
_atom_site_type_symbol
_atom_site_fract_x
_atom_site_fract_y
_atom_site_fract_z
_atom_site_occupancy
Si1 Si 0.000 0.000 0.000 1
Te1 Te 0.500 0.500 0.000 1
I1 I 0.000 0.500 0.500 1
N1 N 0.500 0.500 0.500 1
```

Summary:
**Energy relative to the lowest polymorph listed for this composition**: 71.1 kJ/mol of atoms
**ΔE_f (raw)**: 1.119 eV per atom



[19]
# YSc2Se

YSc2Se after structural relaxation (PBE, Alexandria via LeMat-Bulk).

Structure (CIF):
```
data_YSc2Se
_chemical_formula_sum 'Y2 Sc4 Se2'
_space_group_name_H-M_alt 'C m m m'
_space_group_IT_number 65
_space_group_name_Hall '-C 2 2'
_cell_length_a 3.981
_cell_length_b 5.616
_cell_length_c 8.964
_cell_angle_alpha 90.00
_cell_angle_beta 90.00
_cell_angle_gamma 90.00
loop_
_atom_site_label
_atom_site_type_symbol
_atom_site_fract_x
_atom_site_fract_y
_atom_site_fract_z
_atom_site_occupancy
Y1 Y 0.000 0.000 0.000 1
Sc1 Sc 0.000 0.500 0.299 1
Se1 Se 0.000 0.000 0.500 1
```

Summary:
**ΔE_f (raw)**: -0.600 eV per atom



[20]
# CaTlCdSn

CaTlCdSn after structural relaxation (PBE, Alexandria via LeMat-Bulk).

Structure (CIF):
```
data_CaTlCdSn
_chemical_formula_sum 'Ca4 Tl4 Cd4 Sn4'
_space_group_name_H-M_alt 'F -4 3 m'
_space_group_IT_number 216
_space_group_name_Hall 'F -4 2 3'
_cell_length_a 7.604
_cell_length_b 7.604
_cell_length_c 7.604
_cell_angle_alpha 90.00
_cell_angle_beta 90.00
_cell_angle_gamma 90.00
loop_
_atom_site_label
_atom_site_type_symbol
_atom_site_fract_x
_atom_site_fract_y
_atom_site_fract_z
_atom_site_occupancy
Ca1 Ca 0.000 0.000 0.000 1
Tl1 Tl 0.250 0.250 0.750 1
Cd1 Cd 0.000 0.000 0.500 1
Sn1 Sn 0.250 0.250 0.250 1
```

Summary:
**Energy relative to the lowest polymorph listed for this composition**: 6.3 kJ/mol of atoms
**Formation energy**: -0.24 eV/atom



no.,total moment (μB per cell)
1,4.147
2,0.187
3,1.079
4,0.000
5,0.000
6,2.160
7,0.704
8,0.000
9,0.001
10,2.377
11,0.001
12,0.018
13,0.000
14,4.091
15,0.000
16,0.000
17,0.000
18,0.000
19,0.000
20,0.000